Compound: SmZnCd
Source: the Alexandria database
Functional: PBE-GGA
Structure: optimized geometry

Results
The density of states at the Fermi level is 0.825 states/eV/atom. The calculation puts the calculated formation energy at -0.2540 eV per atom. The crystal system is monoclinic. The electronic total energy is -2.557 eV per atom.

Unit cell a=4.563 b=4.563 c=7.009 alpha=90.00 beta=90.06 gamma=90.00
Space group P2_1/m (No. 11)
Asymmetric unit:
1 Sm 0.250 0.250 0.190 x2
2 Zn 0.250 0.750 0.500 x2
3 Cd 0.250 0.250 0.729 x2